This record from the Alexandria database describes NaOsO3 after structural relaxation. The functional is PBE.

The structure in CIF format:
```
data_NaOsO3
_space_group_name_H-M_alt 'R -3 c'
_space_group_IT_number 167
_space_group_name_Hall '-R 3 2"c'
_cell_length_a 5.4351
_cell_length_b 5.4351
_cell_length_c 13.2772
_cell_angle_alpha 90.00
_cell_angle_beta 90.00
_cell_angle_gamma 120.00
loop_
_atom_site_label
_atom_site_fract_x
_atom_site_fract_y
_atom_site_fract_z
_atom_site_occupancy
Na1 0.0000 0.0000 0.2500 1
Os1 0.0000 0.0000 0.0000 1
O1 0.0000 0.4285 0.2500 1
```

Summary:
Formation energy from raw total energies   -1.22 eV per atom
E_tot   -201.1 eV for the cell shown
Density of states at the Fermi level   0.525 states/eV per atom


This record from the Alexandria database describes NaOsO3 after structural relaxation. The functional is PBE.

The structure in CIF format:
```
data_NaOsO3
_space_group_name_H-M_alt 'R -3'
_space_group_IT_number 148
_space_group_name_Hall '-R 3'
_cell_length_a 5.4007
_cell_length_b 5.4007
_cell_length_c 15.5459
_cell_angle_alpha 90.00
_cell_angle_beta 90.00
_cell_angle_gamma 120.00
loop_
_atom_site_label
_atom_site_fract_x
_atom_site_fract_y
_atom_site_fract_z
_atom_site_occupancy
Na1 0.0000 0.0000 0.1356 1
Os1 0.0000 0.0000 0.3362 1
O1 0.0065 0.6172 0.9330 1
```

Summary:
Formation energy from raw total energies   -1.22 eV per atom
E_tot   -201.1 eV for the cell shown
Density of states at the Fermi level   0.467 states/eV per atom


Question: The highest density of states at the Fermi level belongs to which entry?
Answer: number 1